Sm4ZnRh3: relaxed, PBE-GGA.

Lattice parameters (Å, degrees): 3.8536 4.4416 10.7623 90.00 90.00 90.00
Atoms (fractional coordinates):
Sm: 0.5000 0.0000 0.6374
Sm: 0.0000 0.0000 0.1423
Sm: 0.5000 0.5000 0.3699
Sm: 0.0000 0.5000 0.8507
Rh: 0.5000 0.0000 0.9320
Rh: 0.0000 0.5000 0.5889
Rh: 0.0000 0.0000 0.4092
Zn: 0.5000 0.5000 0.0696

Properties
V = 23.03 Å³ per atom
E_form = -0.651 eV/atom
space-group type = Pmm2 (25)